This record from the Alexandria database describes crystalline SrTcIr2 at its relaxed geometry. The functional is GGA-PBE.

a = 2.9180 Å, b = 2.9180 Å, c = 8.3538 Å
α = 90.00°, β = 90.00°, γ = 90.00°
Closest atoms and distances in Å follow each position.
Space group P4/mmm (No. 123)
Unique sites:
Sr 0.0000 0.0000 0.0000 (multiplicity 1)  4 Sr 2.92, 8 Ir 3.22
Tc 0.0000 0.0000 0.5000 (multiplicity 1)  8 Ir 2.67, 4 Tc 2.92
Ir 0.5000 0.5000 0.2962 (multiplicity 2)  4 Tc 2.67, 4 Ir 2.92

Output
D(E_F), states/eV per cell: 2.6
Polymorph energy (0 for the lowest one), meV/atom: 0
Formation energy from the elements, eV/atom: 0.115



This record from the Alexandria database describes crystalline SrTcIr2 at its relaxed geometry. The functional is GGA-PBE.

a = 4.3427 Å, b = 4.3427 Å, c = 3.8691 Å
α = 90.00°, β = 90.00°, γ = 90.00°
Closest atoms and distances in Å follow each position.
Space group P4/mmm (No. 123)
Unique sites:
Sr 0.0000 0.0000 0.0000 (multiplicity 1)  8 Ir 2.91, 4 Tc 3.07
Tc 0.5000 0.5000 0.0000 (multiplicity 1)  8 Ir 2.91, 4 Sr 3.07
Ir 0.0000 0.5000 0.5000 (multiplicity 2)  4 Tc 2.91, 4 Sr 2.91, 4 Ir 3.07

Output
D(E_F), states/eV per cell: 4.0
Polymorph energy (0 for the lowest one), meV/atom: 563
Formation energy from the elements, eV/atom: 0.678



This record from the Alexandria database describes crystalline SrVTcIr2 at its relaxed geometry. The functional is GGA-PBE.

a = 4.7514 Å, b = 4.7514 Å, c = 5.1908 Å
α = 90.00°, β = 90.00°, γ = 90.00°
Closest atoms and distances in Å follow each position.
Space group P4/mmm (No. 123)
Unique sites:
Sr 0.0000 0.0000 0.0000 (multiplicity 1)  2 Tc 2.60
V 0.5000 0.5000 0.0000 (multiplicity 1)  4 Sr 3.36, 8 Ir 3.52
Tc 0.0000 0.0000 0.5000 (multiplicity 1)  4 Ir 2.38, 2 Sr 2.60
Ir 0.0000 0.5000 0.5000 (multiplicity 2)  2 Tc 2.38

Output
D(E_F), states/eV per cell: 8.6
Formation energy from the elements, eV/atom: 1.603



This record from the Alexandria database describes crystalline SrZnTcIr2 at its relaxed geometry. The functional is GGA-PBE.

a = 4.7842 Å, b = 4.7842 Å, c = 4.8917 Å
α = 90.00°, β = 90.00°, γ = 90.00°
Closest atoms and distances in Å follow each position.
Space group P4/mmm (No. 123)
Unique sites:
Sr 0.0000 0.0000 0.0000 (multiplicity 1)  4 Zn 3.38, 8 Ir 3.42
Zn 0.5000 0.5000 0.0000 (multiplicity 1)  2 Tc 2.45
Tc 0.5000 0.5000 0.5000 (multiplicity 1)  4 Ir 2.39, 2 Zn 2.45
Ir 0.0000 0.5000 0.5000 (multiplicity 2)  2 Tc 2.39

Output
D(E_F), states/eV per cell: 2.2
Formation energy from the elements, eV/atom: 0.437



This record from the Alexandria database describes crystalline SrTe2Ir2 at its relaxed geometry. The functional is GGA-PBE.

a = 4.9150 Å, b = 4.9150 Å, c = 9.7316 Å
α = 90.00°, β = 90.00°, γ = 90.00°
Closest atoms and distances in Å follow each position.
Space group I4/mmm (No. 139)
Unique sites:
Sr 0.0000 0.0000 0.0000 (multiplicity 2)  8 Te 3.46, 10 Ir 3.54-3.72
Te 0.0000 0.5000 0.2500 (multiplicity 4)  4 Ir 2.70
Ir 0.0000 0.0000 0.3638 (multiplicity 4)  1 Ir 2.65, 4 Te 2.70

Output
D(E_F), states/eV per cell: 3.9
Polymorph energy (0 for the lowest one), meV/atom: 0



This record from the Alexandria database describes crystalline SrTe2Ir at its relaxed geometry. The functional is GGA-PBE.

a = 5.1316 Å, b = 5.1316 Å, c = 3.7005 Å
α = 90.00°, β = 90.00°, γ = 90.00°
Closest atoms and distances in Å follow each position.
Space group P4/mmm (No. 123)
Unique sites:
Sr 0.0000 0.0000 0.0000 (multiplicity 1)  8 Te 3.16
Te 0.0000 0.5000 0.5000 (multiplicity 2)  4 Ir 3.16, 4 Sr 3.16
Ir 0.5000 0.5000 0.0000 (multiplicity 1)  8 Te 3.16

Output
D(E_F), states/eV per cell: 2.5
Polymorph energy (0 for the lowest one), meV/atom: 452



Computed total moment (μB/f.u.) in order:
0.00 2.26 0.69 0.00 0.00 0.00